A PBEsol-optimized structure of KCa2Cl, computed with meta-GGA SCAN.

Cell lengths 6.1482, 6.1482, 6.1482 Å; angles 60.00, 60.00, 60.00 degrees
Last column: nearest neighbours and their distance in Å.
Element x y z (fractional)
K 0.0000 0.0000 0.0000  4 Ca 3.76, 4 Cl 3.76
Ca 0.5000 0.5000 0.5000  4 Ca 3.76, 4 Cl 3.76
Ca 0.7500 0.7500 0.7500  4 K 3.76, 4 Ca 3.76
Cl 0.2500 0.2500 0.2500  4 K 3.76, 4 Ca 3.76

Output
Density: 1563 kg/m³
Magnetic moment: 0.00 μB/cell
E above lowest polymorph: 697 meV per atom
Formation energy from raw total energies: -218 meV/atom